1.
Here is an optimized crystal structure of DyMoC3 from the Open Quantum Materials Database. Energies are from PBE.

Cell lengths 4.9905, 3.7044, 6.1190 Å; angles 90.00, 102.28, 90.00 degrees
With the nearest neighbours (Å) after each atom.
Positions (direct):
Dy 0.1808 0.2500 0.2036  9 C 2.53-2.63
Dy 0.8192 0.7500 0.7964  9 C 2.53-2.63
Mo 0.3206 0.2500 0.7205  7 C 2.16-2.40
Mo 0.6794 0.7500 0.2795  7 C 2.16-2.40
C 0.1103 0.7500 0.4907  1 C 1.37
C 0.3281 0.7500 0.9700  3 Mo 2.29-2.40, 2 C 2.50, 3 Dy 2.54
C 0.3863 0.7500 0.4933  1 C 1.37
C 0.6137 0.2500 0.5067  1 C 1.37
C 0.6719 0.2500 0.0300  3 Mo 2.29-2.40, 2 C 2.50, 3 Dy 2.54
C 0.8897 0.2500 0.5093  1 C 1.37

Computed properties:
Total DFT energy (no corrections): -0.59781 Ry/atom
Size of the total moment: 0.007 μB per cell
Space group: P2_1/m (11)

***

2.
Here is an optimized crystal structure of PrDySi2Mo2C from the Open Quantum Materials Database. Energies are from PBE.

Cell lengths 5.9315, 5.9315, 7.2733 Å; angles 123.63, 123.63, 38.20 degrees
With the nearest neighbours (Å) after each atom.
Positions (direct):
Pr 0.0000 0.0000 0.0000  2 C 2.71
Dy 0.8494 0.8494 0.4040  2 C 2.60
Si 0.2898 0.2898 0.0308  1 Si 2.52, 3 Mo 2.56-2.62
Si 0.5559 0.5559 0.3707  1 Si 2.52, 3 Mo 2.53-2.58
Mo 0.2163 0.2163 0.6156  1 C 2.02
Mo 0.6277 0.6277 0.7781  1 C 2.02
C 0.4196 0.4196 0.6878  2 Mo 2.02

Computed properties:
Total DFT energy (no corrections): -0.57721 Ry/atom
Size of the total moment: 0.001 μB per cell
Space group: Cm (8)

***

3.
Here is an optimized crystal structure of DyScMo2C3 from the Open Quantum Materials Database. Energies are from PBE.

Cell lengths 5.8585, 5.8585, 5.5798 Å; angles 108.59, 108.59, 32.99 degrees
With the nearest neighbours (Å) after each atom.
Positions (direct):
Dy 0.0000 0.0000 0.0000  5 C 2.36-2.56
Sc 0.2338 0.2338 0.6333  5 C 2.31-2.46
Mo 0.4670 0.4670 0.4541  4 C 2.02-2.16
Mo 0.7617 0.7617 0.1853  4 C 2.05-2.10
C 0.3405 0.3405 0.0654  3 Mo 2.10-2.16, 1 Sc 2.31
C 0.6176 0.6176 0.3342  2 Mo 2.02-2.05
C 0.8801 0.8801 0.5628  3 Mo 2.08-2.12

Computed properties:
Total DFT energy (no corrections): -0.65766 Ry/atom
Size of the total moment: 0.002 μB per cell
Space group: Cm (8)

***

4.
Here is an optimized crystal structure of Dy2SiMo2C2 from the Open Quantum Materials Database. Energies are from PBE.

Cell lengths 6.7856, 6.7856, 5.7002 Å; angles 98.48, 98.48, 27.85 degrees
With the nearest neighbours (Å) after each atom.
Positions (direct):
Dy 0.1344 0.1344 0.3798  3 C 2.45-2.49
Dy 0.8656 0.8656 0.6202  3 C 2.45-2.49
Si 0.5000 0.5000 0.0000  2 Mo 2.41
Mo 0.3309 0.3309 0.1120  3 C 2.10-2.12
Mo 0.6691 0.6691 0.8880  3 C 2.10-2.12
C 0.2463 0.2463 0.7648  3 Mo 2.10-2.12
C 0.7537 0.7537 0.2352  3 Mo 2.10-2.12

Computed properties:
Total DFT energy (no corrections): -0.59643 Ry/atom
Size of the total moment: 0.002 μB per cell
Space group: C2/m (12)

***

5.
Here is an optimized crystal structure of DyTmSi2Mo2C from the Open Quantum Materials Database. Energies are from PBE.

Cell lengths 5.8779, 5.8779, 7.1097 Å; angles 123.45, 123.45, 37.63 degrees
With the nearest neighbours (Å) after each atom.
Positions (direct):
Dy 0.0000 0.0000 0.0000  2 C 2.59
Tm 0.8505 0.8505 0.4097  2 C 2.57
Si 0.2942 0.2942 0.0424  1 Si 2.44, 3 Mo 2.52-2.62
Si 0.5555 0.5555 0.3669  1 Si 2.44, 3 Mo 2.51-2.60
Mo 0.2186 0.2186 0.6183  1 C 2.00
Mo 0.6304 0.6304 0.7885  1 C 2.00
C 0.4239 0.4239 0.7012  2 Mo 2.00

Computed properties:
Total DFT energy (no corrections): -0.57764 Ry/atom
Size of the total moment: 0.000 μB per cell
Space group: Cm (8)

***

6.
Here is an optimized crystal structure of Dy2TmMoC3 from the Open Quantum Materials Database. Energies are from PBE.

Cell lengths 6.3704, 6.3704, 5.7990 Å; angles 111.62, 111.62, 32.14 degrees
With the nearest neighbours (Å) after each atom.
Positions (direct):
Dy 0.0000 0.0000 0.0000  3 C 2.42-2.52
Dy 0.2423 0.2423 0.6031  5 C 2.48-2.65
Tm 0.4872 0.4872 0.4730  4 C 2.35-2.42
Mo 0.7688 0.7688 0.1630  4 C 2.06-2.09
C 0.3315 0.3315 0.0653  2 Mo 2.09
C 0.6220 0.6220 0.2579  1 Mo 2.07
C 0.8759 0.8759 0.5380  1 Mo 2.06

Computed properties:
Total DFT energy (no corrections): -0.56584 Ry/atom
Size of the total moment: 0.002 μB per cell
Space group: Cm (8)